This record from Alexandria via LeMat-Bulk describes a geometry-optimized PuU2H8 structure. The functional is PBE.

Results
- theoretical density (g cm⁻³) = 11.28
- final energy (hartree per atom) = -0.223
- symmetry = Immm, No. 71

abc: 6.4051 6.4051 6.4051
angles: 146.69 131.44 60.16
Sites, in units of the cell vectors:
Pu 0.0000 0.0000 0.0000
U 0.3253 0.3253 0.0000
U 0.6747 0.6747 0.0000
H 0.1000 0.8397 0.2603
H 0.1700 0.6700 0.5000
H 0.2718 0.5000 0.7718
H 0.4206 0.1603 0.2603
H 0.5794 0.8397 0.7397
H 0.7282 0.5000 0.2282
H 0.8300 0.3300 0.5000
H 0.9000 0.1603 0.7397

---

This record from Alexandria via LeMat-Bulk describes a geometry-optimized PuUH structure. The functional is PBE.

Results
- offset from the most stable computed form (meV/atom) = 297
- theoretical density (g cm⁻³) = 17.37
- final energy (hartree per atom) = -0.348
- symmetry = I4mm, No. 107

abc: 5.6101 5.6101 5.6101
angles: 149.20 149.20 44.12
Sites, in units of the cell vectors:
Pu 0.0000 0.0000 0.0000
U 0.7381 0.7381 0.0000
H 0.3648 0.3648 0.0000

---

This record from Alexandria via LeMat-Bulk describes a geometry-optimized PuUH structure. The functional is PBE.

Results
- offset from the most stable computed form (meV/atom) = 222
- theoretical density (g cm⁻³) = 17.31
- final energy (hartree per atom) = -0.350
- symmetry = Cmcm, No. 63

abc: 5.1349 5.1349 6.4576
angles: 90.00 90.00 147.03
Sites, in units of the cell vectors:
Pu 0.1971 0.8029 0.7500
Pu 0.8029 0.1971 0.2500
U 0.0000 0.0000 0.0000
U 0.0000 0.0000 0.5000
H 0.4146 0.5854 0.7500
H 0.5854 0.4146 0.2500

---

This record from Alexandria via LeMat-Bulk describes a geometry-optimized PuUH structure. The functional is PBE.

Results
- offset from the most stable computed form (meV/atom) = 0
- theoretical density (g cm⁻³) = 18.41
- final energy (hartree per atom) = -0.358
- symmetry = P3m1, No. 156

abc: 3.6712 3.6712 3.7328
angles: 90.00 90.00 120.00
Sites, in units of the cell vectors:
Pu 0.0000 0.0000 0.0000
U 0.3333 0.6667 0.6589
H 0.6667 0.3333 0.3130

---

This record from Alexandria via LeMat-Bulk describes a geometry-optimized PuUH4 structure. The functional is PBE.

Results
- theoretical density (g cm⁻³) = 11.21
- final energy (hartree per atom) = -0.248
- symmetry = P4/mmm, No. 123

abc: 3.6852 3.6852 5.3032
angles: 90.00 90.00 90.00
Sites, in units of the cell vectors:
Pu 0.0000 0.0000 0.0000
U 0.5000 0.5000 0.5000
H 0.0000 0.5000 0.2540
H 0.0000 0.5000 0.7460
H 0.5000 0.0000 0.2540
H 0.5000 0.0000 0.7460

---

This record from Alexandria via LeMat-Bulk describes a geometry-optimized Pu2UH structure. The functional is PBE.

Results
- theoretical density (g cm⁻³) = 17.05
- final energy (hartree per atom) = -0.391
- symmetry = P4/mmm, No. 123

abc: 2.9701 2.9701 8.0282
angles: 90.00 90.00 90.00
Sites, in units of the cell vectors:
Pu 0.0000 0.0000 0.1909
Pu 0.0000 0.0000 0.8091
U 0.5000 0.5000 0.5000
H 0.5000 0.5000 0.0000

---

This record from Alexandria via LeMat-Bulk describes a geometry-optimized PuU2H6 structure. The functional is PBE.

Results
- theoretical density (g cm⁻³) = 11.99
- final energy (hartree per atom) = -0.240
- symmetry = C2/m, No. 12

abc: 5.6872 5.6872 3.8617
angles: 109.75 109.75 61.11
Sites, in units of the cell vectors:
Pu 0.0000 0.0000 0.0000
U 0.3359 0.3359 0.3358
U 0.6641 0.6641 0.6642
H 0.1255 0.5327 0.8291
H 0.2086 0.7914 0.5000
H 0.4673 0.8745 0.1709
H 0.5327 0.1255 0.8291
H 0.7914 0.2086 0.5000
H 0.8745 0.4673 0.1709

---

This record from Alexandria via LeMat-Bulk describes a geometry-optimized Pu2UH8 structure. The functional is PBE.

Results
- theoretical density (g cm⁻³) = 11.34
- final energy (hartree per atom) = -0.236
- symmetry = Immm, No. 71

abc: 6.4164 6.4164 6.4164
angles: 146.55 131.84 59.90
Sites, in units of the cell vectors:
Pu 0.1783 0.1783 0.0000
Pu 0.8217 0.8217 0.0000
U 0.5000 0.5000 0.0000
H 0.0798 0.3443 0.7355
H 0.2293 0.0000 0.2293
H 0.3421 0.8421 0.5000
H 0.3912 0.6557 0.7355
H 0.6088 0.3443 0.2645
H 0.6579 0.1579 0.5000
H 0.7707 0.0000 0.7707
H 0.9202 0.6557 0.2645